This record from Alexandria describes Sm3Dy2In3 after structural relaxation. The functional is PBE.

Structure (POSCAR):
```
Sm3Dy2In3
1.0
0.3567 3.7369 0.6624
-3.1810 1.0576 -4.2534
-7.6725 -2.7200 8.5094
In Sm Dy
3 3 2
direct
0.8793 0.8793 0.7586 In
0.1207 0.1207 0.2414 In
0.0000 0.5000 0.0000 In
0.5000 0.0000 0.0000 Sm
0.6242 0.6242 0.2483 Sm
0.3758 0.3758 0.7517 Sm
0.2655 0.7655 0.5310 Dy
0.7345 0.2345 0.4690 Dy
```

Output
The space group is Immm. As for the formation energy from the elements: -0.37 eV per atom. The final energy comes out at -4.31 eV/atom.